No. 1
Entry from the Alexandria database: NdTh3O after structural relaxation (PBE).

Unit cell a=5.1065 b=5.1065 c=5.1065 alpha=90.00 beta=90.00 gamma=90.00
Sites, in units of the cell vectors:
Th 0.5000 0.0000 0.0000
Nd 0.5000 0.5000 0.5000
Th 0.0000 0.0000 0.5000
Th 0.0000 0.5000 0.0000
O 0.0000 0.0000 0.0000

Summary:
ΔE_f (raw) in meV/atom: -1053
Total magnetic moment in μB/f.u.: 0.0
Symmetry: Pm-3m
Crystal system: cubic


No. 2
Entry from the Alexandria database: LiThZrTa after structural relaxation (PBE).

Unit cell a=4.9811 b=4.9811 c=4.9811 alpha=60.00 beta=60.00 gamma=60.00
Sites, in units of the cell vectors:
Zr 0.0000 0.0000 0.0000
Th 0.5000 0.5000 0.5000
Li 0.2500 0.2500 0.2500
Ta 0.7500 0.7500 0.7500

Summary:
Total magnetic moment in μB/f.u.: 0.0
Formation energy from the elements in eV/atom: 0.150
Symmetry: F-43m
Crystal system: cubic


No. 3
Entry from the Alexandria database: NdNpN after structural relaxation (PBE).

Unit cell a=3.3115 b=5.3393 c=13.3901 alpha=90.00 beta=90.00 gamma=90.00
Sites, in units of the cell vectors:
Nd 0.7500 0.0016 0.1741
N 0.2500 0.4981 0.8160
N 0.7500 0.5019 0.1840
Nd 0.2500 0.5016 0.3259
Nd 0.7500 0.4984 0.6741
Np 0.7500 0.4989 0.9339
Np 0.2500 0.5011 0.0661
N 0.2500 0.0019 0.3160
Nd 0.2500 0.9984 0.8259
Np 0.7500 0.0011 0.4339
N 0.7500 0.9981 0.6840
Np 0.2500 0.9989 0.5661

Summary:
ΔE_f (raw) in meV/atom: -711
Total magnetic moment in μB/f.u.: 1.4
Symmetry: Pnma
Crystal system: orthorhombic


The highest total magnetic moment belongs to which entry? NdNpN